Density functional theory data (GGA-PBE) for crystalline NaReCl2 at its relaxed geometry.

The energy above the lowest structure with this stoichiometry is 0 kJ/mol of formula units. The total moment comes out at 0.00 μB/f.u. The value obtained for the total energy is -4.51 eV/atom. For the calculated density, the calculation gives 6.51 g/cm3.

It has space group R-3m (No. 166, hexagonal axes), with a = 3.1224 Å, b = 3.1224 Å, c = 25.4017 Å, α = 90.00°, β = 90.00° and γ = 120.00°. The asymmetric unit holds Na at (0.0000, 0.0000, 0.0000), Re at (0.0000, 0.0000, 0.5000) and Cl at (0.0000, 0.0000, 0.4086).